# 1
Below is crystalline LaMn2P at its relaxed geometry, with properties calculated at the PBE-GGA level.

```
data_LaMn2P
_chemical_formula_sum 'La2 Mn4 P2'
_cell_length_a 4.447
_cell_length_b 4.447
_cell_length_c 8.662
_cell_angle_alpha 75.13
_cell_angle_beta 75.13
_cell_angle_gamma 90.00
_symmetry_space_group_name_H-M 'P 1'
_symmetry_Int_Tables_number 1
loop_
_symmetry_equiv_pos_as_xyz
'x,y,z'
loop_
_atom_site_label
_atom_site_fract_x
_atom_site_fract_y
_atom_site_fract_z
P1 0.500 0.500 0.000
P2 0.250 0.750 0.500
Mn1 0.375 0.125 0.250
Mn2 0.375 0.625 0.250
Mn3 0.375 0.625 0.750
Mn4 0.875 0.625 0.750
La1 0.000 0.000 0.000
La2 0.750 0.250 0.500
```

Summary:
Uncorrected energy ... -7.331 eV/atom
Formation enthalpy at 0 K ... -0.16 eV per atom



# 2
Below is crystalline LaMnP at its relaxed geometry, with properties calculated at the PBE-GGA level.

```
data_LaMnP
_chemical_formula_sum 'La1 Mn1 P1'
_cell_length_a 4.601
_cell_length_b 4.601
_cell_length_c 4.601
_cell_angle_alpha 60.00
_cell_angle_beta 60.00
_cell_angle_gamma 60.00
_symmetry_space_group_name_H-M 'P 1'
_symmetry_Int_Tables_number 1
loop_
_symmetry_equiv_pos_as_xyz
'x,y,z'
loop_
_atom_site_label
_atom_site_fract_x
_atom_site_fract_y
_atom_site_fract_z
La1 0.000 0.000 0.000
Mn1 0.500 0.500 0.500
P1 0.750 0.750 0.750
```

Summary:
Uncorrected energy ... -6.877 eV/atom
Formation enthalpy at 0 K ... -0.37 eV per atom



# 3
Below is crystalline LaMn2P at its relaxed geometry, with properties calculated at the PBE-GGA level.

```
data_LaMn2P
_chemical_formula_sum 'La1 Mn2 P1'
_cell_length_a 3.813
_cell_length_b 3.602
_cell_length_c 5.615
_cell_angle_alpha 78.84
_cell_angle_beta 90.00
_cell_angle_gamma 90.00
_symmetry_space_group_name_H-M 'P 1'
_symmetry_Int_Tables_number 1
loop_
_symmetry_equiv_pos_as_xyz
'x,y,z'
loop_
_atom_site_label
_atom_site_fract_x
_atom_site_fract_y
_atom_site_fract_z
La1 0.500 0.786 0.701
Mn1 0.000 0.941 0.166
Mn2 0.500 0.408 0.203
P1 0.000 0.365 0.430
```

Summary:
Uncorrected energy ... -7.444 eV/atom
Formation enthalpy at 0 K ... -0.27 eV per atom



# 4
Below is crystalline LaMnP at its relaxed geometry, with properties calculated at the PBE-GGA level.

```
data_LaMnP
_chemical_formula_sum 'La1 Mn1 P1'
_cell_length_a 4.159
_cell_length_b 4.159
_cell_length_c 4.166
_cell_angle_alpha 90.00
_cell_angle_beta 90.00
_cell_angle_gamma 120.00
_symmetry_space_group_name_H-M 'P 1'
_symmetry_Int_Tables_number 1
loop_
_symmetry_equiv_pos_as_xyz
'x,y,z'
loop_
_atom_site_label
_atom_site_fract_x
_atom_site_fract_y
_atom_site_fract_z
La1 0.000 0.000 0.000
Mn1 0.333 0.667 0.500
P1 0.667 0.333 0.500
```

Summary:
Uncorrected energy ... -7.250 eV/atom
Formation enthalpy at 0 K ... -0.75 eV per atom



# 5
Below is crystalline LaMn2P at its relaxed geometry, with properties calculated at the PBE-GGA level.

```
data_LaMn2P
_chemical_formula_sum 'La1 Mn2 P1'
_cell_length_a 3.324
_cell_length_b 3.324
_cell_length_c 6.740
_cell_angle_alpha 90.00
_cell_angle_beta 90.00
_cell_angle_gamma 90.00
_symmetry_space_group_name_H-M 'P 1'
_symmetry_Int_Tables_number 1
loop_
_symmetry_equiv_pos_as_xyz
'x,y,z'
loop_
_atom_site_label
_atom_site_fract_x
_atom_site_fract_y
_atom_site_fract_z
La1 0.500 0.500 0.734
Mn1 0.000 0.000 0.080
Mn2 0.500 0.500 0.258
P1 0.000 0.000 0.428
```

Summary:
Uncorrected energy ... -7.306 eV/atom
Formation enthalpy at 0 K ... -0.14 eV per atom



# 6
Below is crystalline LaMnP2 at its relaxed geometry, with properties calculated at the PBE-GGA level.

```
data_LaMnP2
_chemical_formula_sum 'La2 Mn2 P4'
_cell_length_a 4.787
_cell_length_b 4.787
_cell_length_c 7.882
_cell_angle_alpha 72.32
_cell_angle_beta 72.32
_cell_angle_gamma 90.00
_symmetry_space_group_name_H-M 'P 1'
_symmetry_Int_Tables_number 1
loop_
_symmetry_equiv_pos_as_xyz
'x,y,z'
loop_
_atom_site_label
_atom_site_fract_x
_atom_site_fract_y
_atom_site_fract_z
P1 0.405 0.125 0.250
P2 0.345 0.625 0.250
P3 0.375 0.595 0.750
P4 0.875 0.655 0.750
Mn1 0.500 0.500 0.000
Mn2 0.250 0.750 0.500
La1 0.000 0.000 0.000
La2 0.750 0.250 0.500
```

Summary:
Uncorrected energy ... -6.902 eV/atom
Formation enthalpy at 0 K ... -0.67 eV per atom



# 7
Below is crystalline LaMn2P at its relaxed geometry, with properties calculated at the PBE-GGA level.

```
data_LaMn2P
_chemical_formula_sum 'La1 Mn2 P1'
_cell_length_a 5.393
_cell_length_b 5.393
_cell_length_c 5.393
_cell_angle_alpha 134.79
_cell_angle_beta 134.79
_cell_angle_gamma 65.85
_symmetry_space_group_name_H-M 'P 1'
_symmetry_Int_Tables_number 1
loop_
_symmetry_equiv_pos_as_xyz
'x,y,z'
loop_
_atom_site_label
_atom_site_fract_x
_atom_site_fract_y
_atom_site_fract_z
La1 0.750 0.250 0.500
Mn1 0.000 0.000 0.000
Mn2 0.500 0.500 0.000
P1 0.250 0.750 0.500
```

Summary:
Uncorrected energy ... -7.076 eV/atom
Formation enthalpy at 0 K ... 0.09 eV per atom



# 8
Below is crystalline LaMn3P2 at its relaxed geometry, with properties calculated at the PBE-GGA level.

```
data_LaMn3P2
_chemical_formula_sum 'La3 Mn9 P6'
_cell_length_a 9.248
_cell_length_b 9.248
_cell_length_c 3.741
_cell_angle_alpha 90.00
_cell_angle_beta 90.00
_cell_angle_gamma 120.00
_symmetry_space_group_name_H-M 'P 1'
_symmetry_Int_Tables_number 1
loop_
_symmetry_equiv_pos_as_xyz
'x,y,z'
loop_
_atom_site_label
_atom_site_fract_x
_atom_site_fract_y
_atom_site_fract_z
P1 0.387 0.193 0.000
P2 0.807 0.193 0.000
P3 0.807 0.613 0.000
P4 0.613 0.807 0.000
P5 0.193 0.807 0.000
P6 0.193 0.387 0.000
Mn1 0.000 0.706 0.500
Mn2 0.294 0.294 0.500
Mn3 0.706 0.000 0.500
Mn4 0.000 0.294 0.500
Mn5 0.706 0.706 0.500
Mn6 0.294 0.000 0.500
Mn7 0.000 0.500 0.000
Mn8 0.500 0.500 0.000
Mn9 0.500 0.000 0.000
La1 0.000 0.000 0.000
La2 0.667 0.333 0.500
La3 0.333 0.667 0.500
```

Summary:
Uncorrected energy ... -7.830 eV/atom
Formation enthalpy at 0 K ... -0.62 eV per atom